# Sb2PW PBE-GGA relaxed
# Energy ... -5.88 eV per atom
# Theoretical density ... 9.72 g/cm³
# ΔE_f (raw) ... 776 meV/atom
data_Sb2PW
_space_group_name_H-M_alt 'I m m m'
_space_group_IT_number 71
_space_group_name_Hall '-I 2 2'
_cell_length_a 3.836
_cell_length_b 4.841
_cell_length_c 8.432
_cell_angle_alpha 90.00
_cell_angle_beta 90.00
_cell_angle_gamma 90.00
loop_
_atom_site_label
_atom_site_fract_x
_atom_site_fract_y
_atom_site_fract_z
_atom_site_occupancy
Sb1 0.000 0.000 0.225 1
P1 0.000 0.500 0.500 1
W1 0.000 0.500 0.000 1



# SbP2W PBE-GGA relaxed
# Energy ... -6.65 eV per atom
# Theoretical density ... 8.36 g/cm³
# ΔE_f (raw) ... 324 meV/atom
data_SbP2W
_space_group_name_H-M_alt 'P 1 m 1'
_space_group_IT_number 6
_cell_length_a 3.588
_cell_length_b 4.620
_cell_length_c 4.670
_cell_angle_alpha 90.00
_cell_angle_beta 109.54
_cell_angle_gamma 90.00
loop_
_space_group_symop_operation_xyz
'x,y,z'
'x,-y,z'
loop_
_atom_site_label
_atom_site_fract_x
_atom_site_fract_y
_atom_site_fract_z
_atom_site_occupancy
Sb1 0.000 0.000 0.000 1
P1 0.334 0.500 0.609 1
P2 0.663 0.000 0.427 1
W1 0.666 0.500 0.217 1



# SbPW2 PBE-GGA relaxed
# Energy ... -8.40 eV per atom
# Theoretical density ... 13.33 g/cm³
# ΔE_f (raw) ... 463 meV/atom
# E above lowest polymorph ... 342 meV per atom
data_SbPW2
_space_group_name_H-M_alt 'F m -3 m'
_space_group_IT_number 225
_space_group_name_Hall '-F 4 2 3'
_cell_length_a 6.376
_cell_length_b 6.376
_cell_length_c 6.376
_cell_angle_alpha 90.00
_cell_angle_beta 90.00
_cell_angle_gamma 90.00
loop_
_atom_site_label
_atom_site_fract_x
_atom_site_fract_y
_atom_site_fract_z
_atom_site_occupancy
Sb1 0.000 0.000 0.000 1
P1 0.000 0.000 0.500 1
W1 0.250 0.250 0.250 1



# SbPW2 PBE-GGA relaxed
# Energy ... -8.48 eV per atom
# Theoretical density ... 11.47 g/cm³
# ΔE_f (raw) ... 384 meV/atom
# E above lowest polymorph ... 262 meV per atom
data_SbPW2
_space_group_name_H-M_alt 'C m m 2'
_space_group_IT_number 35
_cell_length_a 3.337
_cell_length_b 4.752
_cell_length_c 9.502
_cell_angle_alpha 90.00
_cell_angle_beta 90.00
_cell_angle_gamma 90.00
loop_
_space_group_symop_operation_xyz
'x,y,z'
'-x,-y,z'
'-x,y,z'
'x,-y,z'
'x+1/2,y+1/2,z'
'-x+1/2,-y+1/2,z'
'-x+1/2,y+1/2,z'
'x+1/2,-y+1/2,z'
loop_
_atom_site_label
_atom_site_fract_x
_atom_site_fract_y
_atom_site_fract_z
_atom_site_occupancy
Sb1 0.000 0.000 0.000 1
P1 0.000 0.500 0.664 1
W1 0.000 0.000 0.475 1
W2 0.000 0.500 0.247 1



# Sb2PW PBE-GGA relaxed
# Energy ... -5.85 eV per atom
# Theoretical density ... 9.16 g/cm³
# ΔE_f (raw) ... 799 meV/atom
data_Sb2PW
_space_group_name_H-M_alt 'C m m m'
_space_group_IT_number 65
_space_group_name_Hall '-C 2 2'
_cell_length_a 3.537
_cell_length_b 4.863
_cell_length_c 9.666
_cell_angle_alpha 90.00
_cell_angle_beta 90.00
_cell_angle_gamma 90.00
loop_
_atom_site_label
_atom_site_fract_x
_atom_site_fract_y
_atom_site_fract_z
_atom_site_occupancy
Sb1 0.000 0.000 0.232 1
P1 0.000 0.500 0.500 1
W1 0.000 0.500 0.000 1



# SbPW2 PBE-GGA relaxed
# Energy ... -8.67 eV per atom
# Theoretical density ... 12.30 g/cm³
# ΔE_f (raw) ... 189 meV/atom
# E above lowest polymorph ... 68 meV per atom
data_SbPW2
_space_group_name_H-M_alt 'C 1 m 1'
_space_group_IT_number 8
_cell_length_a 8.743
_cell_length_b 3.260
_cell_length_c 5.136
_cell_angle_alpha 90.00
_cell_angle_beta 106.36
_cell_angle_gamma 90.00
loop_
_space_group_symop_operation_xyz
'x,y,z'
'x,-y,z'
'x+1/2,y+1/2,z'
'x+1/2,-y+1/2,z'
loop_
_atom_site_label
_atom_site_fract_x
_atom_site_fract_y
_atom_site_fract_z
_atom_site_occupancy
Sb1 0.000 0.000 0.000 1
P1 0.260 0.500 0.413 1
W1 0.241 0.000 0.757 1
W2 0.482 0.000 0.449 1



# SbP2W PBE-GGA relaxed
# Energy ... -6.55 eV per atom
# Theoretical density ... 8.04 g/cm³
# ΔE_f (raw) ... 419 meV/atom
data_SbP2W
_space_group_name_H-M_alt 'C m m m'
_space_group_IT_number 65
_space_group_name_Hall '-C 2 2'
_cell_length_a 3.319
_cell_length_b 5.008
_cell_length_c 9.138
_cell_angle_alpha 90.00
_cell_angle_beta 90.00
_cell_angle_gamma 90.00
loop_
_atom_site_label
_atom_site_fract_x
_atom_site_fract_y
_atom_site_fract_z
_atom_site_occupancy
Sb1 0.000 0.000 0.000 1
P1 0.000 0.500 0.303 1
W1 0.000 0.000 0.500 1



# Sb2PW PBE-GGA relaxed
# Energy ... -5.75 eV per atom
# Theoretical density ... 9.52 g/cm³
# ΔE_f (raw) ... 905 meV/atom
data_Sb2PW
_space_group_name_H-M_alt 'P m m m'
_space_group_IT_number 47
_cell_length_a 3.307
_cell_length_b 4.647
_cell_length_c 5.202
_cell_angle_alpha 90.00
_cell_angle_beta 90.00
_cell_angle_gamma 90.00
loop_
_space_group_symop_operation_xyz
'x,y,z'
'-x,-y,-z'
'-x,-y,z'
'x,y,-z'
'x,-y,-z'
'-x,y,z'
'-x,y,-z'
'x,-y,z'
loop_
_atom_site_label
_atom_site_fract_x
_atom_site_fract_y
_atom_site_fract_z
_atom_site_occupancy
Sb1 0.000 0.000 0.000 1
Sb2 0.500 0.000 0.500 1
P1 0.000 0.500 0.500 1
W1 0.500 0.500 0.000 1



# SbP2W PBE-GGA relaxed
# Energy ... -6.26 eV per atom
# Theoretical density ... 9.20 g/cm³
# ΔE_f (raw) ... 716 meV/atom
data_SbP2W
_space_group_name_H-M_alt 'C m m m'
_space_group_IT_number 65
_space_group_name_Hall '-C 2 2'
_cell_length_a 5.900
_cell_length_b 7.079
_cell_length_c 3.176
_cell_angle_alpha 90.00
_cell_angle_beta 90.00
_cell_angle_gamma 90.00
loop_
_atom_site_label
_atom_site_fract_x
_atom_site_fract_y
_atom_site_fract_z
_atom_site_occupancy
Sb1 0.000 0.000 0.000 1
P1 0.250 0.250 0.500 1
W1 0.000 0.500 0.000 1



# SbPW2 PBE-GGA relaxed
# Energy ... -8.10 eV per atom
# Theoretical density ... 12.63 g/cm³
# ΔE_f (raw) ... 758 meV/atom
# E above lowest polymorph ... 637 meV per atom
data_SbPW2
_space_group_name_H-M_alt 'F -4 3 m'
_space_group_IT_number 216
_space_group_name_Hall 'F -4 2 3'
_cell_length_a 6.492
_cell_length_b 6.492
_cell_length_c 6.492
_cell_angle_alpha 90.00
_cell_angle_beta 90.00
_cell_angle_gamma 90.00
loop_
_atom_site_label
_atom_site_fract_x
_atom_site_fract_y
_atom_site_fract_z
_atom_site_occupancy
Sb1 0.000 0.000 0.000 1
P1 0.250 0.250 0.750 1
W1 0.000 0.000 0.500 1
W2 0.250 0.250 0.250 1



# SbPW2 PBE-GGA relaxed
# Energy ... -8.19 eV per atom
# Theoretical density ... 11.23 g/cm³
# ΔE_f (raw) ... 669 meV/atom
# E above lowest polymorph ... 548 meV per atom
data_SbPW2
_space_group_name_H-M_alt 'I -4 2 d'
_space_group_IT_number 122
_space_group_name_Hall 'I -4 2bw'
_cell_length_a 4.204
_cell_length_b 4.204
_cell_length_c 17.424
_cell_angle_alpha 90.00
_cell_angle_beta 90.00
_cell_angle_gamma 90.00
loop_
_atom_site_label
_atom_site_fract_x
_atom_site_fract_y
_atom_site_fract_z
_atom_site_occupancy
Sb1 0.000 0.000 0.000 1
P1 0.000 0.000 0.500 1
W1 0.179 0.250 0.625 1



# SbPW3 PBE-GGA relaxed
# Energy ... -8.71 eV per atom
# Theoretical density ... 12.70 g/cm³
# ΔE_f (raw) ... 965 meV/atom
# E above lowest polymorph ... 0 meV per atom
data_SbPW3
_space_group_name_H-M_alt 'P m -3 m'
_space_group_IT_number 221
_space_group_name_Hall '-P 4 2 3'
_cell_length_a 4.516
_cell_length_b 4.516
_cell_length_c 4.516
_cell_angle_alpha 90.00
_cell_angle_beta 90.00
_cell_angle_gamma 90.00
loop_
_atom_site_label
_atom_site_fract_x
_atom_site_fract_y
_atom_site_fract_z
_atom_site_occupancy
Sb1 0.000 0.000 0.000 1
P1 0.500 0.500 0.500 1
W1 0.000 0.500 0.500 1